# RbHgSbSe3 | Alexandria via LeMat-Bulk | meta-GGA SCAN | PBEsol geometry
# DFT total energy (eV per atom): -31.6563
# ΔE_f (raw) (eV per formula unit): -3.54
data_RbHgSbSe3
_symmetry_space_group_name_H-M 'P 1 21/c 1'
_symmetry_Int_Tables_number 14
_cell_length_a 7.723
_cell_length_b 11.163
_cell_length_c 8.771
_cell_angle_alpha 90.00
_cell_angle_beta 106.46
_cell_angle_gamma 90.00
loop_
_symmetry_equiv_pos_as_xyz
'x,y,z'
'-x,-y,-z'
'-x,y+1/2,-z+1/2'
'x,-y+1/2,z+1/2'
loop_
_atom_site_label
_atom_site_type_symbol
_atom_site_fract_x
_atom_site_fract_y
_atom_site_fract_z
Rb1 Rb 0.011 0.246 0.378
Hg1 Hg 0.407 0.750 0.477
Sb1 Sb 0.455 0.002 0.238
Se1 Se 0.232 0.546 0.455
Se2 Se 0.232 0.546 0.911
Se3 Se 0.370 0.233 0.218